Density functional theory data (PBE) for P2Pd5 after structural relaxation.

extended XYZ file:
```
14
Lattice="6.6503 -2.8353 0.0000 6.6503 2.8353 0.0000 -0.9706 0.0000 5.6299" Properties=species:S:1:pos:R:3 pbc="T T T"
P 4.2014 1.6201 5.1435
P 7.6432 1.6201 3.3013
P 4.6867 -1.6201 2.3286
P 8.1285 -1.6201 0.4864
Pd 6.4076 2.5225 1.4075
Pd 2.0975 0.5610 4.4958
Pd 4.8726 0.5423 3.1818
Pd 2.5828 -0.5610 1.6808
Pd 6.9720 0.5423 5.2631
Pd 5.3579 -0.5423 0.3668
Pd 9.7471 0.5610 3.9491
Pd 7.4573 -0.5423 2.4482
Pd 10.2324 -0.5610 1.1341
Pd 5.9223 -2.5225 4.2224
```

Calculated values
As for the crystal system: monoclinic. The value obtained for the total magnetic moment is 0.0 μB/f.u. The formation energy comes out at -0.452 eV/atom.


Density functional theory data (PBE) for PPd after structural relaxation.

extended XYZ file:
```
12
Lattice="6.5959 0.0000 0.0000 0.0000 6.5959 0.0000 0.0000 0.0000 6.5959" Properties=species:S:1:pos:R:3 pbc="T T T"
P 0.0000 1.6490 3.2980
P 0.0000 4.9469 3.2980
P 1.6490 3.2980 0.0000
P 3.2980 0.0000 1.6490
P 3.2980 0.0000 4.9469
P 4.9469 3.2980 0.0000
Pd 0.0000 3.2980 1.6490
Pd 0.0000 3.2980 4.9469
Pd 1.6490 0.0000 3.2980
Pd 3.2980 1.6490 0.0000
Pd 3.2980 4.9469 0.0000
Pd 4.9469 0.0000 3.2980
```

Calculated values
As for the crystal system: cubic. The value obtained for the total magnetic moment is 0.0 μB/f.u. The formation energy comes out at 0.033 eV/atom.


no.,density of states at the Fermi level (states/eV per cell)
1,4.80
2,12.17